1.
Compound: ScZnNO
Source: the Open Quantum Materials Database
Functional: PBE
Structure: optimized geometry

Cell lengths 4.5205, 5.9922, 7.2711 Å; angles 90.00, 90.00, 90.00 degrees
Last column: nearest neighbours and their distance in Å.
Atoms (fractional coordinates):
N: 0.0513 0.4212 0.1277  1 Zn 2.00, 2 Sc 2.10-2.12
N: 0.5513 0.0788 0.1277  1 Zn 2.00, 2 Sc 2.10-2.12
N: 0.5513 0.5788 0.8723  1 Zn 2.00, 2 Sc 2.10-2.12
N: 0.0513 0.9212 0.8723  1 Zn 2.00, 2 Sc 2.10-2.12
O: 0.0543 0.9104 0.3877  3 Zn 2.00-2.23, 1 Sc 2.07
O: 0.5543 0.5896 0.3877  3 Zn 2.00-2.23, 1 Sc 2.07
O: 0.5543 0.0896 0.6123  3 Zn 2.00-2.23, 1 Sc 2.07
O: 0.0543 0.4104 0.6123  3 Zn 2.00-2.23, 1 Sc 2.07
Sc: 0.0500 0.5714 0.8643  1 O 2.07, 4 N 2.10-2.27
Sc: 0.0500 0.0714 0.1357  1 O 2.07, 4 N 2.10-2.27
Sc: 0.5500 0.4286 0.1357  1 O 2.07, 4 N 2.10-2.27
Sc: 0.5500 0.9286 0.8643  1 O 2.07, 4 N 2.10-2.27
Zn: 0.5468 0.9258 0.3720  1 N 2.00, 3 O 2.00-2.23
Zn: 0.0468 0.5742 0.3720  1 N 2.00, 3 O 2.00-2.23
Zn: 0.5468 0.4258 0.6280  1 N 2.00, 3 O 2.00-2.23
Zn: 0.0468 0.0742 0.6280  1 N 2.00, 3 O 2.00-2.23

Crystal system   orthorhombic
Energy relative to the lowest polymorph listed for this composition   10 kJ/mol of formula units



2.
Compound: ScZnNO
Source: the Open Quantum Materials Database
Functional: PBE
Structure: optimized geometry

Cell lengths 4.4658, 4.4658, 4.2619 Å; angles 90.00, 90.00, 90.00 degrees
Last column: nearest neighbours and their distance in Å.
Atoms (fractional coordinates):
O: 0.5000 0.5000 0.0000  2 Sc 2.13, 4 Zn 2.23
O: 0.0000 0.0000 0.0000  2 Sc 2.13, 4 Zn 2.23
N: 0.5000 0.0000 0.4996  2 Zn 2.13, 4 Sc 2.23
N: 0.0000 0.5000 0.5004  2 Zn 2.13, 4 Sc 2.23
Zn: 0.0000 0.5000 0.0009  2 N 2.13, 4 O 2.23
Zn: 0.5000 0.0000 0.9991  2 N 2.13, 4 O 2.23
Sc: 0.5000 0.5000 0.5000  2 O 2.13, 4 N 2.23
Sc: 0.0000 0.0000 0.5000  2 O 2.13, 4 N 2.23

Crystal system   tetragonal
Energy relative to the lowest polymorph listed for this composition   9 kJ/mol of formula units



3.
Compound: ScZnNO
Source: the Open Quantum Materials Database
Functional: PBE
Structure: optimized geometry

Cell lengths 3.3786, 5.4275, 5.7466 Å; angles 90.00, 90.00, 90.00 degrees
Last column: nearest neighbours and their distance in Å.
Atoms (fractional coordinates):
N: 0.0000 0.8704 0.3306  2 Zn 1.97-1.98, 2 Sc 2.03
N: 0.0000 0.3704 0.6694  2 Zn 1.97-1.98, 2 Sc 2.03
Sc: 0.5000 0.4985 0.8248  2 N 2.03, 2 O 2.04-2.05
Sc: 0.5000 0.9985 0.1752  2 N 2.03, 2 O 2.04-2.05
O: 0.5000 0.8764 0.8391  2 Sc 2.04-2.05, 2 Zn 2.14
O: 0.5000 0.3764 0.1609  2 Sc 2.04-2.05, 2 Zn 2.14
Zn: 0.0000 0.0087 0.6489  2 N 1.97-1.98, 2 O 2.14
Zn: 0.0000 0.5087 0.3511  2 N 1.97-1.98, 2 O 2.14

Crystal system   orthorhombic
Energy relative to the lowest polymorph listed for this composition   15 kJ/mol of formula units



4.
Compound: SmSiNO
Source: the Open Quantum Materials Database
Functional: PBE
Structure: optimized geometry

Cell lengths 5.3712, 8.2338, 4.9516 Å; angles 90.00, 90.00, 90.00 degrees
Last column: nearest neighbours and their distance in Å.
Atoms (fractional coordinates):
O: 0.4907 0.7740 0.5393  1 Si 1.62
O: 0.9907 0.2260 0.5393  1 Si 1.62
O: 0.0093 0.7740 0.0393  1 Si 1.62
O: 0.5093 0.2260 0.0393  1 Si 1.62
Sm: 0.0050 0.1364 0.0395  4 O 2.58-2.81, 1 N 2.70
Sm: 0.9950 0.8636 0.5395  4 O 2.58-2.81, 1 N 2.70
Sm: 0.4950 0.1364 0.5395  4 O 2.58-2.81, 1 N 2.70
Sm: 0.5050 0.8636 0.0395  4 O 2.58-2.81, 1 N 2.70
Si: 0.4117 0.5866 0.4876  1 O 1.62, 3 N 1.75-1.77
Si: 0.9117 0.4134 0.4876  1 O 1.62, 3 N 1.75-1.77
Si: 0.5883 0.4134 0.9876  1 O 1.62, 3 N 1.75-1.77
Si: 0.0883 0.5866 0.9876  1 O 1.62, 3 N 1.75-1.77
N: 0.6180 0.4487 0.6360  3 Si 1.75-1.77
N: 0.1180 0.5513 0.6360  3 Si 1.75-1.77
N: 0.3820 0.5513 0.1360  3 Si 1.75-1.77
N: 0.8820 0.4487 0.1360  3 Si 1.75-1.77

Crystal system   orthorhombic
Energy relative to the lowest polymorph listed for this composition   75 kJ/mol of formula units



no.,DFT total energy (eV per atom)
1,-6.85
2,-6.85
3,-6.83
4,-7.39